[1]
VASP calculation (PBE) on Cu3TcW after structural relaxation.

Values from the calculation:
The calculation puts the distance to the lowest polymorph of the same formula at 0.0000 eV/atom. For the raw total energy, the calculation gives -5.125 eV/atom. The calculation puts the calculated volume at 98.7 Å³/cell. As for the energy of formation: 1.996 eV/atom. As for the space-group type: Pm-3m, No. 221.

Lattice parameters (Å, degrees): 4.621 4.621 4.621 90.00 90.00 90.00
Site moments in Bohr magnetons follow the coordinates.
Element x y z (fractional)
Cu 0.000 0.500 0.000  0.01
Cu 0.000 0.000 0.500  -0.01
Cu 0.500 0.000 0.000  0.02
Tc 0.500 0.500 0.500  3.20
W 0.000 0.000 0.000  -0.11


[2]
VASP calculation (PBE) on Cu2TcW after structural relaxation.

Values from the calculation:
The calculation puts the distance to the lowest polymorph of the same formula at 0.0181 eV/atom. For the raw total energy, the calculation gives -7.661 eV/atom. The calculation puts the calculated volume at 55.7 Å³/cell. As for the energy of formation: 0.217 eV/atom. As for the space-group type: P4mm, No. 99.

Lattice parameters (Å, degrees): 3.161 3.161 5.575 90.00 90.00 90.00
Element x y z (fractional)
Cu 0.000 0.000 0.021
Cu 0.500 0.500 0.227
Tc 0.000 0.000 0.506
W 0.500 0.500 0.746


[3]
VASP calculation (PBE) on Cu2TcW after structural relaxation.

Values from the calculation:
The calculation puts the distance to the lowest polymorph of the same formula at 0.0347 eV/atom. For the raw total energy, the calculation gives -7.645 eV/atom. The calculation puts the calculated volume at 54.8 Å³/cell. As for the energy of formation: 0.233 eV/atom. As for the space-group type: P4/mmm, No. 123.

Lattice parameters (Å, degrees): 3.654 3.653 4.105 90.00 90.00 90.00
Element x y z (fractional)
Cu 0.000 0.000 0.000
Cu 0.500 0.500 0.000
Tc 0.500 0.000 0.500
W 0.000 0.500 0.500


[4]
VASP calculation (PBE) on Cu2Tc2W after structural relaxation.

Values from the calculation:
The calculation puts the distance to the lowest polymorph of the same formula at 0.0000 eV/atom. For the raw total energy, the calculation gives -7.960 eV/atom. The calculation puts the calculated volume at 138.8 Å³/cell. As for the energy of formation: 0.416 eV/atom. As for the space-group type: P4/mbm, No. 127.

Lattice parameters (Å, degrees): 6.590 6.590 3.195 90.00 90.00 90.00
Element x y z (fractional)
Cu 0.375 0.875 0.000
Cu 0.875 0.625 0.000
Cu 0.625 0.125 0.000
Cu 0.125 0.375 0.000
Tc 0.174 0.674 0.500
Tc 0.674 0.826 0.500
Tc 0.826 0.326 0.500
Tc 0.326 0.174 0.500
W 0.000 0.000 0.000
W 0.500 0.500 0.000


[5]
VASP calculation (PBE) on CuTcW after structural relaxation.

Values from the calculation:
The calculation puts the distance to the lowest polymorph of the same formula at 0.0122 eV/atom. For the raw total energy, the calculation gives -8.961 eV/atom. The calculation puts the calculated volume at 43.3 Å³/cell. As for the energy of formation: 0.177 eV/atom. As for the space-group type: I4mm, No. 107.

Lattice parameters (Å, degrees): 4.718 4.718 4.718 139.84 139.84 58.10
Element x y z (fractional)
Cu 0.001 0.001 0.000
Tc 0.330 0.330 0.000
W 0.669 0.669 0.000


[6]
VASP calculation (PBE) on Cu2TcW after structural relaxation.

Values from the calculation:
The calculation puts the distance to the lowest polymorph of the same formula at 0.1735 eV/atom. For the raw total energy, the calculation gives -7.506 eV/atom. The calculation puts the calculated volume at 56.0 Å³/cell. As for the energy of formation: 0.372 eV/atom. As for the space-group type: R-3m, No. 166.

Lattice parameters (Å, degrees): 9.098 9.098 9.098 16.98 16.98 16.98
Site moments in Bohr magnetons follow the coordinates.
Element x y z (fractional)
Cu 0.999 0.999 0.999  0.02
Cu 0.501 0.501 0.501  0.02
Tc 0.250 0.250 0.250  0.22
W 0.750 0.750 0.750  0.00


How do the records compare in total magnetic moment? In the order shown, they have 3.3 0.0 0.0 0.0 0.0 0.3 μB per formula unit.